Entry 1:
Material: ScZn2CuSn
Method: DFT, GGA-PBE
State: optimized geometry

Values from the calculation:
Density of states at the Fermi level: 2.28 states/eV per cell
Formation energy from the elements: 0.05 eV/atom

Unit cell a=4.5702 b=4.5702 c=4.9834 alpha=90.00 beta=90.00 gamma=90.00
Last column: nearest neighbours and their distance in Å.
Space group P4/mmm (No. 123)
One atom of each set of equivalent atoms:
Sc 0.0000 0.0000 0.0000 [1 per cell]  2 Cu 2.49
Zn 0.0000 0.5000 0.5000 [2 per cell]  2 Cu 2.29
Cu 0.0000 0.0000 0.5000 [1 per cell]  4 Zn 2.29, 2 Sc 2.49
Sn 0.5000 0.5000 0.0000 [1 per cell]  4 Sc 3.23, 8 Zn 3.38

---

Entry 2:
Material: LiTbSn2
Method: DFT, GGA-PBE
State: optimized geometry

Values from the calculation:
Density of states at the Fermi level: 1.55 states/eV per cell
Formation energy from the elements: -0.57 eV/atom

Unit cell a=4.6426 b=4.6426 c=4.4296 alpha=90.00 beta=90.00 gamma=90.00
Last column: nearest neighbours and their distance in Å.
Space group P4/mmm (No. 123)
One atom of each set of equivalent atoms:
Li 0.0000 0.0000 0.0000 [1 per cell]  8 Sn 3.21, 4 Tb 3.28
Tb 0.5000 0.5000 0.0000 [1 per cell]  8 Sn 3.21, 4 Li 3.28
Sn 0.0000 0.5000 0.5000 [2 per cell]  4 Tb 3.21, 4 Li 3.21, 4 Sn 3.28

---

Entry 3:
Material: Eu3GaO6
Method: DFT, GGA-PBE
State: optimized geometry

Values from the calculation:
Formation energy (no corrections): -241.74 kJ per mole of atoms
Density of states at the Fermi level: 79.87 states/eV per cell

Unit cell a=9.1928 b=11.5723 c=5.5299 alpha=90.00 beta=90.00 gamma=90.00
Last column: nearest neighbours and their distance in Å.
Space group Cmc2_1 (No. 36)
One atom of each set of equivalent atoms:
Eu 0.0000 0.1064 0.0000 [4 per cell]  7 O 2.35-2.51
Eu 0.1929 0.3928 0.0376 [8 per cell]  5 O 2.27-2.44
Ga 0.0000 0.3082 0.5772 [4 per cell]  4 O 1.85-1.89
O 0.0000 0.2888 0.2447 [4 per cell]  1 Ga 1.85
O 0.0000 0.4559 0.7189 [4 per cell]  1 Ga 1.88
O 0.1539 0.2368 0.7482 [8 per cell]  1 Ga 1.89
O 0.1602 0.0148 0.2711 [8 per cell]  4 Eu 2.27-2.40

---

Entry 4:
Material: KTa2Ir
Method: DFT, GGA-PBE
State: optimized geometry

Values from the calculation:
Density of states at the Fermi level: 9.77 states/eV per cell
Formation energy from the elements: 0.61 eV/atom

Unit cell a=8.7720 b=2.9661 c=7.7575 alpha=90.00 beta=95.43 gamma=90.00
Last column: nearest neighbours and their distance in Å.
Space group Cm (No. 8)
One atom of each set of equivalent atoms:
K 0.0000 0.0000 0.0000 [2 per cell]  2 K 2.97
Ta 0.2186 0.0000 0.6357 [2 per cell]  5 Ta 2.76-2.97, 2 Ir 2.81
Ta 0.4920 0.0000 0.4541 [2 per cell]  3 Ir 2.58-2.63, 2 Ta 2.76
Ir 0.2573 0.5000 0.3357 [2 per cell]  5 Ta 2.58-2.81